Record 1
Compound: Cs3TlTe4
Source: the Alexandria database
Functional: GGA-PBE
Structure: relaxed

Summary:
crystal system = orthorhombic
VASP energy = -23.12 eV per cell
E_form (uncorrected) = -0.7039 eV/atom

Cell lengths 5.824, 7.036, 11.316 Å; angles 108.11, 104.91, 90.00 degrees
Element x y z (fractional)
1 Te 0.622 0.822 0.244
2 Te 0.378 0.178 0.756
3 Te 0.378 0.578 0.756
4 Te 0.622 0.422 0.244
5 Cs 0.200 0.200 0.399
6 Cs 0.000 0.500 0.000
7 Cs 0.800 0.800 0.601
8 Tl 0.500 0.000 0.000


Record 2
Compound: LiAc2Hg2O6
Source: the Alexandria database
Functional: GGA-PBE
Structure: relaxed

Summary:
crystal system = trigonal
VASP energy = -56.51 eV per cell
E_form (uncorrected) = -1.4572 eV/atom

Cell lengths 6.335, 6.335, 6.676 Å; angles 61.68, 61.68, 60.00 degrees
Last column: magnetic moment on the atom in μB.
Element x y z (fractional)
1 O 0.765 0.189 0.282  0.13
2 O 0.235 0.235 0.718  0.13
3 O 0.765 0.765 0.282  0.13
4 O 0.189 0.765 0.282  0.13
5 O 0.235 0.811 0.718  0.13
6 O 0.811 0.235 0.718  0.13
7 Ac 0.800 0.800 0.600  -0.01
8 Ac 0.200 0.200 0.400  -0.01
9 Hg 0.412 0.412 0.765  0.04
10 Hg 0.588 0.588 0.235  0.04
11 Li 0.000 0.000 0.000  0.00


Record 3
Compound: AcLa2CoSn
Source: the Alexandria database
Functional: GGA-PBE
Structure: relaxed

Summary:
calculated formation energy = -9.29 kcal/mol of atoms
crystal system = tetragonal
VASP energy = -27.09 eV per cell

Cell lengths 5.507, 5.313, 5.313 Å; angles 90.00, 90.00, 90.00 degrees
Element x y z (fractional)
1 Ac 0.500 0.000 0.000
2 La 0.000 0.000 0.500
3 La 0.000 0.500 0.000
4 Sn 0.500 0.500 0.500
5 Co 0.000 0.000 0.000


Record 4
Compound: CaTaMnBe2
Source: the Alexandria database
Functional: GGA-PBE
Structure: relaxed

Summary:
calculated formation energy = 46.35 kcal/mol of atoms
crystal system = tetragonal
VASP energy = -20.43 eV per cell

Cell lengths 4.380, 4.316, 4.380 Å; angles 90.00, 90.00, 90.00 degrees
Last column: magnetic moment on the atom in μB.
Element x y z (fractional)
1 Be 0.500 0.000 0.000  -0.02
2 Be 0.000 0.000 0.500  0.01
3 Ta 0.500 0.500 0.500  -0.04
4 Mn 0.000 0.500 0.000  2.89
5 Ca 0.000 0.000 0.000  -0.01


Record 5
Compound: Ag2Ru
Source: the Alexandria database
Functional: GGA-PBE
Structure: relaxed

Summary:
calculated formation energy = 9.89 kcal/mol of atoms
crystal system = monoclinic
VASP energy = -27.38 eV per cell

Cell lengths 5.589, 5.589, 6.811 Å; angles 75.72, 75.72, 29.07 degrees
Last column: magnetic moment on the atom in μB.
Element x y z (fractional)
1 Ru 0.706 0.706 0.379  0.80
2 Ru 0.294 0.294 0.621  0.80
3 Ag 0.982 0.982 0.306  0.03
4 Ag 0.357 0.357 0.034  0.01
5 Ag 0.018 0.018 0.694  0.03
6 Ag 0.643 0.643 0.966  0.01


Record 6
Compound: GeBi2PbSe
Source: the Alexandria database
Functional: GGA-PBE
Structure: relaxed

Summary:
crystal system = tetragonal
VASP energy = -14.65 eV per cell
E_form (uncorrected) = 0.9846 eV/atom

Cell lengths 5.930, 5.374, 5.930 Å; angles 90.00, 90.00, 90.00 degrees
Element x y z (fractional)
1 Bi 0.500 0.000 0.000
2 Bi 0.000 0.000 0.500
3 Pb 0.000 0.000 0.000
4 Ge 0.000 0.500 0.000
5 Se 0.500 0.500 0.500